The following is a DFT calculation (PBE) of crystalline ZrTaB4 at its relaxed geometry.

CIF file:
```
data_ZrTaB4
_chemical_formula_sum 'Zr4 Ta4 B16'
_symmetry_space_group_name_H-M 'P b a m'
_symmetry_Int_Tables_number 55
_cell_length_a 6.064
_cell_length_b 11.691
_cell_length_c 3.490
_cell_angle_alpha 90.00
_cell_angle_beta 90.00
_cell_angle_gamma 90.00
loop_
_symmetry_equiv_pos_as_xyz
'x,y,z'
'-x,-y,-z'
'-x,-y,z'
'x,y,-z'
'x+1/2,-y+1/2,-z'
'-x+1/2,y+1/2,z'
'-x+1/2,y+1/2,-z'
'x+1/2,-y+1/2,z'
loop_
_atom_site_label
_atom_site_fract_x
_atom_site_fract_y
_atom_site_fract_z
_atom_site_occupancy
Zr1 0.129 0.149 0.000 1
Ta1 0.137 0.411 0.000 1
B1 0.022 0.697 0.500 1
B2 0.120 0.550 0.500 1
B3 0.127 0.968 0.500 1
B4 0.199 0.810 0.500 1
```

Summary:
DFT total energy: -8.472 eV per atom

---

The following is a DFT calculation (PBE) of crystalline CsPrMo at its relaxed geometry.

CIF file:
```
data_CsPrMo
_chemical_formula_sum 'Cs4 Pr4 Mo4'
_symmetry_space_group_name_H-M 'F -4 3 m'
_symmetry_Int_Tables_number 216
_symmetry_space_group_name_Hall 'F -4 2 3'
_cell_length_a 7.641
_cell_length_b 7.641
_cell_length_c 7.641
_cell_angle_alpha 90.00
_cell_angle_beta 90.00
_cell_angle_gamma 90.00
loop_
_atom_site_label
_atom_site_fract_x
_atom_site_fract_y
_atom_site_fract_z
_atom_site_occupancy
Cs1 0.000 0.000 0.000 1
Pr1 0.250 0.250 0.750 1
Mo1 0.000 0.000 0.500 1
```

Summary:
DFT total energy: -3.602 eV per atom

---

The following is a DFT calculation (PBE) of crystalline DyZnB at its relaxed geometry.

CIF file:
```
data_DyZnB
_chemical_formula_sum 'Dy4 Zn4 B4'
_symmetry_space_group_name_H-M 'F -4 3 m'
_symmetry_Int_Tables_number 216
_symmetry_space_group_name_Hall 'F -4 2 3'
_cell_length_a 5.877
_cell_length_b 5.877
_cell_length_c 5.877
_cell_angle_alpha 90.00
_cell_angle_beta 90.00
_cell_angle_gamma 90.00
loop_
_atom_site_label
_atom_site_fract_x
_atom_site_fract_y
_atom_site_fract_z
_atom_site_occupancy
Dy1 0.000 0.000 0.000 1
Zn1 0.000 0.000 0.500 1
B1 0.250 0.250 0.250 1
```

Summary:
ΔE to the lowest computed polymorph: 0.00 eV/f.u.

---

no.,density (g/cm³),total moment (μB per atom)
1,8.47,0.000
2,5.50,1.229
3,7.81,0.001